1.
First-principles (PBE) data for a relaxed structure of CuNiGe3, as listed in Alexandria via LeMat-Bulk.

Lattice parameters (Å, degrees): 4.6052 4.6052 4.6052 90.00 90.00 90.00
Sites, in units of the cell vectors:
Cu1 0.0000 0.0000 0.0000
Ni1 0.5000 0.5000 0.5000
Ge1 0.0000 0.0000 0.5000
Ge2 0.0000 0.5000 0.0000
Ge3 0.5000 0.0000 0.0000

Computed properties:
The formation energy comes out at 0.770 eV per atom. The space-group type is Pm-3m, No. 221. As for the crystal system: cubic. The electronic total energy is -3.98 eV per atom.

***

2.
First-principles (PBE) data for a relaxed structure of CuNi4Ge, as listed in Alexandria via LeMat-Bulk.

Lattice parameters (Å, degrees): 5.4430 5.4287 5.4458 90.00 90.40 90.00
Sites, in units of the cell vectors:
Cu1 0.0000 0.0000 0.0000
Cu2 0.5000 0.5000 0.0000
Ni1 0.2499 0.2486 0.7462
Ni2 0.2501 0.2514 0.2538
Ni3 0.2501 0.7486 0.2538
Ni4 0.2499 0.7514 0.7462
Ni5 0.7501 0.2486 0.2538
Ni6 0.7499 0.2514 0.7462
Ni7 0.7499 0.7486 0.7462
Ni8 0.7501 0.7514 0.2538
Ge1 0.0000 0.5000 0.5000
Ge2 0.5000 0.0000 0.5000

Computed properties:
The formation energy comes out at 0.165 eV per atom. The space-group type is C2/m, No. 12. As for the crystal system: monoclinic. The electronic total energy is -5.14 eV per atom.